No. 1
DFT (PBE-GGA) results for a geometry-optimized NaSr2HgO4 structure.

Lattice parameters (Å, degrees): 5.873 4.001 6.170 90.00 100.81 90.00
Space group P2/m (No. 10)
One atom of each set of equivalent atoms:
Na1 0.000 0.000 0.000 [1 per cell]
Sr1 0.500 0.000 0.500 [1 per cell]
Sr2 0.500 0.500 0.000 [1 per cell]
Hg1 0.000 0.500 0.500 [1 per cell]
O1 0.250 0.500 0.307 [2 per cell]
O2 0.306 0.000 0.821 [2 per cell]

formation energy from raw total energies	-160.4	kJ per mole of atoms
total magnetization	1.03	μB per formula unit

---

No. 2
DFT (PBE-GGA) results for a geometry-optimized Fe2RhI6Br2 structure.

Lattice parameters (Å, degrees): 7.0456 7.0456 9.9126 90.00 90.00 120.00
Space group P-3 (No. 147)
One atom of each set of equivalent atoms:
Fe1 0.3333 0.6667 0.2577 [2 per cell]
Rh1 0.0000 0.0000 0.5000 [1 per cell]
I1 0.0098 0.3174 0.6626 [6 per cell]
Br1 0.3333 0.6667 0.0266 [2 per cell]

formation energy from raw total energies	-20.3	kJ per mole of atoms
total magnetization	9.01	μB per formula unit

---

No. 3
DFT (PBE-GGA) results for a geometry-optimized NbAl2 structure.

Lattice parameters (Å, degrees): 3.884 13.441 3.802 90.00 90.00 90.00
Space group Cmcm (No. 63)
One atom of each set of equivalent atoms:
Nb1 0.000 0.088 0.250 [4 per cell]
Al1 0.000 0.250 0.750 [4 per cell]
Al2 0.000 0.424 0.250 [4 per cell]

uncorrected energy	-6.20	eV per atom
total magnetization	0.00	μB per formula unit

---

No. 4
DFT (PBE-GGA) results for a geometry-optimized CrCu2P structure.

Lattice parameters (Å, degrees): 3.716 3.716 7.210 90.00 90.00 90.00
Space group I-4m2 (No. 119)
One atom of each set of equivalent atoms:
Cr1 0.000 0.000 0.000 [2 per cell]
Cu1 0.000 0.000 0.500 [2 per cell]
Cu2 0.000 0.500 0.750 [2 per cell]
P1 0.000 0.500 0.250 [2 per cell]

uncorrected energy	-5.66	eV per atom
total magnetization	2.83	μB per formula unit

---

Repeat the third record exactly.
DFT (PBE-GGA) results for a geometry-optimized NbAl2 structure.

Lattice parameters (Å, degrees): 3.884 13.441 3.802 90.00 90.00 90.00
Space group Cmcm (No. 63)
One atom of each set of equivalent atoms:
Nb1 0.000 0.088 0.250 [4 per cell]
Al1 0.000 0.250 0.750 [4 per cell]
Al2 0.000 0.424 0.250 [4 per cell]

uncorrected energy	-6.20	eV per atom
total magnetization	0.00	μB per formula unit

---

- Which value of total magnetization does entry 3 give?
  0.00 μB per formula unit